VASP calculation (GGA+U) on crystalline Mo2WF at its relaxed geometry.

Values from the calculation:
E above lowest polymorph = 190 meV/atom
symmetry = No. 225
density of states at the Fermi level = 4.02 states/eV/f.u.

a b c (Å): 4.461 4.461 4.461
angles (deg): 60.00 60.00 60.00
Element x y z (fractional)
Mo: 0.250 0.250 0.250
Mo: 0.750 0.750 0.750
W: 0.000 0.000 0.000
F: 0.500 0.500 0.500